# 1
GGA-PBE CeY4Ho3Se8, relaxed; uncorrected energy = -101.5 eV for the cell shown
1.0
8.182 0.000 0.000
0.000 8.179 -0.008
-4.091 -4.087 5.787
Se Y Ho Ce
8 4 3 1
Direct
0.747 0.249 0.494
0.747 0.249 0.002
0.253 0.751 0.506
0.255 0.249 0.002
0.253 0.751 0.998
0.745 0.751 0.998
0.749 0.747 0.498
0.251 0.253 0.502
0.500 0.000 0.000
0.500 0.000 0.500
0.000 0.000 0.500
0.000 0.000 0.000
0.500 0.500 0.500
0.500 0.500 0.000
0.000 0.500 0.500
0.000 0.500 0.000

***

# 2
GGA-PBE Ce2YHoSe6, relaxed; uncorrected energy = -61.8 eV for the cell shown
1.0
-1.534 -4.528 5.607
-4.342 -5.855 -1.075
3.256 -7.057 0.034
Se Ce Ho Y
6 2 1 1
Direct
0.935 0.605 0.257
0.103 0.436 0.756
0.203 0.935 0.257
0.436 0.704 0.756
0.704 0.103 0.756
0.605 0.203 0.257
0.019 0.019 0.942
0.519 0.519 0.443
0.819 0.819 0.544
0.318 0.318 0.045

***

Energy relative to the elements, uncorrected? In order: -1.755 -1.800 eV/atom.